No. 1
A relaxed structure of TaIn3. Source: Alexandria via LeMat-Bulk, functional GGA-PBE.

a b c (Å): 5.0683 5.0683 5.0683
angles (deg): 60.00 60.00 60.00
Closest atoms and distances in Å follow each position.
Element x y z (fractional)
Ta 0.0000 0.0000 0.0000  8 In 3.10
In 0.2500 0.2500 0.2500  4 In 3.10, 4 Ta 3.10
In 0.5000 0.5000 0.5000  8 In 3.10
In 0.7500 0.7500 0.7500  4 In 3.10, 4 Ta 3.10

Properties
As for the space group: Fm-3m (225). Its density of states at the Fermi level is 3.99 states/eV/f.u. The calculation puts the volume at 23.02 Å³ per atom. The formation energy is 0.670 eV per atom. The total DFT energy (no corrections) comes out at -17.387 eV per cell.


No. 2
A relaxed structure of Ta2In. Source: Alexandria via LeMat-Bulk, functional GGA-PBE.

a b c (Å): 4.8330 4.8330 2.8553
angles (deg): 90.00 90.00 120.00
Closest atoms and distances in Å follow each position.
Element x y z (fractional)
Ta 0.3333 0.6667 0.3428  5 Ta 2.86-2.93, 3 In 2.96
Ta 0.6667 0.3333 0.6572  5 Ta 2.86-2.93, 3 In 2.96
In 0.0000 0.0000 0.0000  2 In 2.86, 6 Ta 2.96

Properties
As for the space group: P-3m1 (164). Its density of states at the Fermi level is 2.11 states/eV/f.u. The calculation puts the volume at 19.25 Å³ per atom. The formation energy is 0.222 eV per atom. The total DFT energy (no corrections) comes out at -25.778 eV per cell.


No. 3
A relaxed structure of TaIn. Source: Alexandria via LeMat-Bulk, functional GGA-PBE.

a b c (Å): 5.5851 5.5851 5.6416
angles (deg): 90.00 90.00 90.00
Closest atoms and distances in Å follow each position.
Element x y z (fractional)
Ta 0.1796 0.1796 0.0000  6 In 2.82-2.93, 1 Ta 2.84
Ta 0.3204 0.6796 0.5000  6 In 2.82-2.93, 1 Ta 2.84
Ta 0.6796 0.3204 0.5000  6 In 2.82-2.93, 1 Ta 2.84
Ta 0.8204 0.8204 0.0000  6 In 2.82-2.93, 1 Ta 2.84
In 0.1862 0.1862 0.5000  6 Ta 2.82-2.93, 1 In 2.94
In 0.3138 0.6862 0.0000  6 Ta 2.82-2.93, 1 In 2.94
In 0.6862 0.3138 0.0000  6 Ta 2.82-2.93, 1 In 2.94
In 0.8138 0.8138 0.5000  6 Ta 2.82-2.93, 1 In 2.94

Properties
As for the space group: P4_2/mnm (136). Its density of states at the Fermi level is 1.04 states/eV/f.u. The calculation puts the volume at 22.00 Å³ per atom. The formation energy is 0.846 eV per atom. The total DFT energy (no corrections) comes out at -51.597 eV per cell.


No. 4
A relaxed structure of Ta2In. Source: Alexandria via LeMat-Bulk, functional GGA-PBE.

a b c (Å): 5.9128 5.9128 7.3738
angles (deg): 103.46 103.46 28.04
Closest atoms and distances in Å follow each position.
Element x y z (fractional)
Ta 0.0273 0.0273 0.3295  4 Ta 2.73-3.01
Ta 0.2930 0.2930 0.3545  9 Ta 2.86-3.09, 3 In 3.07-3.09
Ta 0.7070 0.7070 0.6455  9 Ta 2.86-3.09, 3 In 3.07-3.09
Ta 0.9727 0.9727 0.6705  4 Ta 2.73-3.01
In 0.3702 0.3702 0.9804  5 In 2.86-3.18, 7 Ta 3.07-3.15
In 0.6298 0.6298 0.0196  5 In 2.86-3.18, 7 Ta 3.07-3.15

Properties
As for the space group: C2/m (12). Its density of states at the Fermi level is 1.97 states/eV/f.u. The calculation puts the volume at 19.61 Å³ per atom. The formation energy is 0.240 eV per atom. The total DFT energy (no corrections) comes out at -51.448 eV per cell.